Entry 1:
First-principles (PBE) data for crystalline Cs4KI2 at its relaxed geometry, as listed in Alexandria.

Computed properties:
Total magnetic moment ... 0.00 Bohr magnetons per cell
Mass density ... 2.10 g cm⁻³
Uncorrected formation energy ... -591 meV/atom
V ... 652.30 Å³/cell

a = 7.8841 Å, b = 7.8841 Å, c = 11.8829 Å
α = 70.63°, β = 70.63°, γ = 90.00°
Sites, in units of the cell vectors:
I  0.5988  0.5988  0.8024
I  0.4012  0.4012  0.1976
Cs  0.0000  0.5000  0.0000
Cs  0.2288  0.2288  0.5424
Cs  0.7712  0.7712  0.4576
Cs  0.5000  0.0000  0.0000
K  0.0000  0.0000  0.0000



Entry 2:
First-principles (PBE) data for crystalline CsKI2 at its relaxed geometry, as listed in Alexandria.

Computed properties:
Total magnetic moment ... 0.00 Bohr magnetons per cell
Mass density ... 2.45 g cm⁻³
Uncorrected formation energy ... -1429 meV/atom
V ... 577.79 Å³/cell

a = 8.4024 Å, b = 8.4024 Å, c = 10.1133 Å
α = 65.45°, β = 65.45°, γ = 90.00°
Sites, in units of the cell vectors:
I  0.1573  0.6250  0.2500
I  0.3750  0.4073  0.7500
I  0.5927  0.1250  0.2500
I  0.8750  0.8427  0.7500
K  0.5000  0.5000  0.0000
K  0.2500  0.7500  0.5000
Cs  0.0000  0.0000  0.0000
Cs  0.7500  0.2500  0.5000



Entry 3:
First-principles (PBE) data for crystalline Cs8K2I at its relaxed geometry, as listed in Alexandria.

Computed properties:
Total magnetic moment ... 0.00 Bohr magnetons per cell
Mass density ... 1.94 g cm⁻³
Uncorrected formation energy ... -256 meV/atom
V ... 1087.49 Å³/cell

a = 5.5058 Å, b = 11.1840 Å, c = 18.0782 Å
α = 98.62°, β = 98.76°, γ = 90.00°
Sites, in units of the cell vectors:
Cs  0.7913  0.6635  0.5825
Cs  0.9952  0.7456  0.9904
Cs  0.3898  0.9580  0.7796
Cs  0.0048  0.2544  0.0096
Cs  0.6147  0.5707  0.2294
Cs  0.2087  0.3365  0.4175
Cs  0.3853  0.4293  0.7706
Cs  0.6102  0.0420  0.2204
I  0.5000  0.0000  0.0000
K  0.2077  0.8735  0.4155
K  0.7923  0.1265  0.5845



Entry 4:
First-principles (PBE) data for crystalline Cs3K12I5 at its relaxed geometry, as listed in Alexandria.

Computed properties:
Total magnetic moment ... 0.00 Bohr magnetons per cell
Mass density ... 1.54 g cm⁻³
Uncorrected formation energy ... -568 meV/atom
V ... 6465.38 Å³/cell

a = 20.3269 Å, b = 20.3269 Å, c = 20.3269 Å
α = 109.47°, β = 109.47°, γ = 109.47°
Sites, in units of the cell vectors:
K  0.4143  0.4111  0.5990
K  0.4968  0.8121  0.9111
K  0.9143  0.8153  0.5032
K  0.4111  0.9968  0.8121
K  0.1847  0.0857  0.9968
K  0.4010  0.0889  0.5857
K  0.5857  0.5889  0.4010
K  0.9968  0.5857  0.1847
K  0.9010  0.8153  0.8121
K  0.1879  0.6847  0.0990
K  0.6847  0.4968  0.5857
K  0.9010  0.0857  0.5889
K  0.9111  0.3121  0.4968
K  0.3153  0.8121  0.4010
K  0.5032  0.1879  0.0889
K  0.8121  0.4968  0.4111
K  0.3153  0.5032  0.4143
K  0.8153  0.9010  0.3121
K  0.4968  0.6847  0.0857
K  0.6847  0.1879  0.5990
K  0.1847  0.0990  0.6879
K  0.0889  0.6879  0.5032
K  0.4143  0.0032  0.3153
K  0.9968  0.4111  0.3121
K  0.0032  0.5889  0.6879
K  0.5889  0.0032  0.1879
K  0.9111  0.5990  0.9143
K  0.5990  0.9111  0.4143
K  0.0032  0.4143  0.8153
K  0.0857  0.1847  0.4968
K  0.6879  0.0889  0.0032
K  0.5032  0.3153  0.9143
K  0.3121  0.9111  0.9968
K  0.5857  0.9968  0.6847
K  0.4111  0.4143  0.0990
K  0.0990  0.9143  0.4111
K  0.4010  0.3121  0.3153
K  0.8121  0.3153  0.9010
K  0.9143  0.0990  0.9111
K  0.0889  0.4010  0.0857
K  0.5889  0.5857  0.9010
K  0.3121  0.4010  0.8153
K  0.5990  0.6879  0.6847
K  0.0990  0.1847  0.1879
K  0.6879  0.5990  0.1847
K  0.0857  0.9010  0.0889
K  0.1879  0.5032  0.5889
K  0.8153  0.9143  0.0032
I  0.0000  0.5000  0.5000
I  0.6250  0.8750  0.2500
I  0.5000  0.5000  0.0000
I  0.8750  0.6250  0.7500
I  0.5000  0.0000  0.5000
I  0.1250  0.7500  0.3750
I  0.6250  0.7500  0.8750
I  0.7500  0.6250  0.3750
I  0.0000  0.5000  0.0000
I  0.2500  0.3750  0.6250
I  0.8750  0.2500  0.6250
I  0.3750  0.1250  0.7500
I  0.0000  0.0000  0.0000
I  0.0000  0.0000  0.5000
I  0.1250  0.3750  0.2500
I  0.3750  0.2500  0.1250
I  0.5000  0.0000  0.0000
I  0.7500  0.1250  0.8750
I  0.5000  0.5000  0.5000
I  0.2500  0.8750  0.1250
Cs  0.2500  0.6250  0.8750
Cs  0.6250  0.3750  0.7500
Cs  0.3750  0.6250  0.2500
Cs  0.7500  0.3750  0.1250
Cs  0.2500  0.1250  0.3750
Cs  0.8750  0.7500  0.1250
Cs  0.3750  0.7500  0.6250
Cs  0.6250  0.2500  0.3750
Cs  0.7500  0.8750  0.6250
Cs  0.8750  0.1250  0.2500
Cs  0.1250  0.8750  0.7500
Cs  0.1250  0.2500  0.8750



Entry 5:
First-principles (PBE) data for crystalline Cs6K2I3 at its relaxed geometry, as listed in Alexandria.

Computed properties:
Total magnetic moment ... 0.00 Bohr magnetons per cell
Mass density ... 2.39 g cm⁻³
Uncorrected formation energy ... -823 meV/atom
V ... 873.99 Å³/cell

a = 5.4066 Å, b = 5.4066 Å, c = 34.6649 Å
α = 85.53°, β = 85.53°, γ = 60.00°
Sites, in units of the cell vectors:
Cs  0.0680  0.0680  0.7961
Cs  0.8117  0.8117  0.5648
Cs  0.9320  0.9320  0.2039
Cs  0.3559  0.3559  0.9322
Cs  0.1883  0.1883  0.4352
Cs  0.6441  0.6441  0.0678
I  0.7120  0.7120  0.8640
I  0.2880  0.2880  0.1360
I  0.0000  0.0000  0.0000
K  0.4402  0.4402  0.6793
K  0.5598  0.5598  0.3207



Entry 6:
First-principles (PBE) data for crystalline Cs5KI6 at its relaxed geometry, as listed in Alexandria.

Computed properties:
Total magnetic moment ... 0.00 Bohr magnetons per cell
Mass density ... 3.50 g cm⁻³
Uncorrected formation energy ... -1534 meV/atom
V ... 695.01 Å³/cell

a = 9.4750 Å, b = 9.4724 Å, c = 9.4832 Å
α = 60.04°, β = 80.40°, γ = 70.48°
Sites, in units of the cell vectors:
Cs  0.0000  0.6663  0.6674
Cs  0.5000  0.1696  0.6608
Cs  0.0000  0.3337  0.3326
Cs  0.5000  0.8304  0.3392
Cs  0.5000  0.5000  0.0000
I  0.2421  0.2374  0.0000
I  0.2415  0.6001  0.3194
I  0.7579  0.7626  0.0000
I  0.7585  0.0805  0.3194
I  0.7585  0.3999  0.6806
I  0.2415  0.9195  0.6806
K  0.0000  0.0000  0.0000



Entry 7:
First-principles (PBE) data for crystalline CsKI2 at its relaxed geometry, as listed in Alexandria.

Computed properties:
Total magnetic moment ... 0.00 Bohr magnetons per cell
Mass density ... 3.88 g cm⁻³
Uncorrected formation energy ... -1459 meV/atom
V ... 182.28 Å³/cell

a = 4.4831 Å, b = 4.4831 Å, c = 9.0693 Å
α = 90.00°, β = 90.00°, γ = 90.00°
Sites, in units of the cell vectors:
I  0.0000  0.0000  0.7650
I  0.0000  0.0000  0.2350
Cs  0.5000  0.5000  0.5000
K  0.5000  0.5000  0.0000



Entry 8:
First-principles (PBE) data for crystalline CsKI2 at its relaxed geometry, as listed in Alexandria.

Computed properties:
Total magnetic moment ... 0.00 Bohr magnetons per cell
Mass density ... 3.35 g cm⁻³
Uncorrected formation energy ... -1510 meV/atom
V ... 210.89 Å³/cell

a = 5.2934 Å, b = 5.2934 Å, c = 9.2122 Å
α = 89.99°, β = 106.72°, γ = 119.99°
Sites, in units of the cell vectors:
I  0.5160  0.2581  0.7741
I  0.4840  0.7419  0.2259
Cs  0.0000  0.5000  0.5000
K  0.0001  0.0000  0.0001